Pr4Sm2Ge3O2: optimized geometry, PBE.

Cell: 4.752 4.752 12.755 Å, 100.74 100.74 90.00°
Fractional coordinates of all 11 atoms:
Pr1 0.081 0.581 0.161
Pr2 0.419 0.919 0.839
Pr3 0.581 0.081 0.161
Pr4 0.919 0.419 0.839
Sm1 0.700 0.700 0.399
Sm2 0.300 0.300 0.601
Ge1 0.000 0.000 0.000
Ge2 0.823 0.823 0.646
Ge3 0.177 0.177 0.354
O1 0.395 0.395 0.790
O2 0.605 0.605 0.210

Computed properties:
Total DFT energy (no corrections), eV per atom: -6.21
Calculated volume, Å³/atom: 25.262
Symmetry: I4/mmm, No. 139
N(E_F), states/eV/atom: 0.514